NiBPC | PBE | optimized geometry

Calculated values
* E: -0.4904 Ry per atom
* E_form: 0.101 eV per atom

a b c (Å): 2.734 2.734 7.301
angles (deg): 89.51 79.32 60.01
Space group P1 (No. 1)
Inequivalent atoms, fractional coordinates:
Ni (0.000, 0.000, 0.000)
B (0.168, 0.411, 0.256)
P (0.479, 0.266, 0.775)
C (0.505, 0.743, 0.251)